1.
Computed, not measured: an optimized crystal structure of TaMnSnCl2 at the PBEsol level of DFT.

Values from the calculation:
Calculated total energy   -5.886 eV/atom
DOS at the Fermi energy   0.40 states/eV/atom
Formation energy from raw total energies   231.7 meV per atom
Size of the total moment   4.94 μB/cell
Density   5775 kg/m3

Unit cell a=4.6160 b=4.6160 c=5.7421 alpha=90.00 beta=90.00 gamma=90.00
With the nearest neighbours (Å) after each atom.
Space group P4/mmm (No. 123)
Unique sites:
Ta (0.0000, 0.0000, 0.0000)  4 Cl 2.31
Mn (0.5000, 0.5000, 0.5000)  4 Sn 3.26
Sn (0.0000, 0.0000, 0.5000)  2 Ta 2.87
Cl (0.0000, 0.5000, 0.0000)  2 Ta 2.31


2.
Computed, not measured: an optimized crystal structure of Al2ZnCoCl at the PBEsol level of DFT.

Values from the calculation:
Calculated total energy   -3.120 eV/atom
DOS at the Fermi energy   0.83 states/eV/atom
Formation energy from raw total energies   781.9 meV per atom
Size of the total moment   0.59 μB/cell
Density   3766 kg/m3

Unit cell a=4.8680 b=4.8680 c=3.9774 alpha=90.00 beta=90.00 gamma=90.00
With the nearest neighbours (Å) after each atom.
Space group P4/mmm (No. 123)
Unique sites:
Al (0.0000, 0.5000, 0.0000)  2 Cl 2.43
Zn (0.0000, 0.0000, 0.5000)  8 Al 3.14, 4 Co 3.44
Co (0.5000, 0.5000, 0.5000)  2 Cl 1.99
Cl (0.5000, 0.5000, 0.0000)  2 Co 1.99


Question: Which of these has the highest density?
Answer: TaMnSnCl2


What did the first record say?
Computed, not measured: an optimized crystal structure of TaMnSnCl2 at the PBEsol level of DFT.

Values from the calculation:
Calculated total energy   -5.886 eV/atom
DOS at the Fermi energy   0.40 states/eV/atom
Formation energy from raw total energies   231.7 meV per atom
Size of the total moment   4.94 μB/cell
Density   5775 kg/m3

Unit cell a=4.6160 b=4.6160 c=5.7421 alpha=90.00 beta=90.00 gamma=90.00
With the nearest neighbours (Å) after each atom.
Space group P4/mmm (No. 123)
Unique sites:
Ta (0.0000, 0.0000, 0.0000)  4 Cl 2.31
Mn (0.5000, 0.5000, 0.5000)  4 Sn 3.26
Sn (0.0000, 0.0000, 0.5000)  2 Ta 2.87
Cl (0.0000, 0.5000, 0.0000)  2 Ta 2.31


Question: The highest density belongs to which entry?
Answer: TaMnSnCl2